Entry 1:
Density functional theory data (GGA-PBE) for a relaxed structure of Ac2MgMnTe5.

Unit cell a=4.549 b=9.977 c=13.201 alpha=90.00 beta=90.00 gamma=103.18
Each line ends with the local moment (μB).
Sites, in units of the cell vectors:
1 Mg 0.799 0.597 0.516  0.00
2 Te 0.499 0.997 0.282  0.02
3 Ac 0.115 0.231 0.689  0.03
4 Te 0.695 0.389 0.853  0.04
5 Mn 0.573 0.145 0.957  4.13
6 Te 0.047 0.093 0.060  0.04
7 Te 0.290 0.579 0.662  0.03
8 Te 0.305 0.611 0.353  0.04
9 Te 0.953 0.907 0.560  0.04
10 Te 0.649 0.298 0.500  0.01
11 Ac 0.885 0.769 0.189  0.03
12 Te 0.710 0.421 0.162  0.03
13 Ac 0.873 0.746 0.805  0.03
14 Ac 0.127 0.254 0.305  0.03
15 Mg 0.201 0.403 0.016  0.00
16 Mn 0.427 0.855 0.457  4.13
17 Te 0.501 0.003 0.782  0.02
18 Te 0.351 0.702 0.000  0.01

Its symmetry is Cmc2_1. The calculation puts the total moment at 10.00 μB per cell. Its uncorrected formation energy is -1.106 eV per atom.

***

Entry 2:
Density functional theory data (GGA-PBE) for a relaxed structure of AcMg2MoN4.

Unit cell a=3.404 b=6.482 c=10.810 alpha=90.00 beta=90.00 gamma=105.22
Sites, in units of the cell vectors:
1 Mg 0.607 0.214 0.033
2 N 0.399 0.798 0.750
3 N 0.711 0.422 0.618
4 N 0.000 0.000 0.000
5 Mo 0.201 0.402 0.250
6 Ac 0.062 0.125 0.750
7 Mg 0.393 0.786 0.533
8 Mo 0.799 0.598 0.750
9 N 0.000 0.000 0.500
10 N 0.601 0.202 0.250
11 N 0.289 0.578 0.118
12 Mg 0.393 0.786 0.967
13 N 0.711 0.422 0.882
14 N 0.289 0.578 0.382
15 Ac 0.938 0.875 0.250
16 Mg 0.607 0.214 0.467

Its symmetry is Cmcm. The calculation puts the total moment at 0.00 μB per cell. Its uncorrected formation energy is -0.662 eV per atom.